## K2CuTe2 (PBE-GGA)

Data for a geometry-optimized K2CuTe2 structure.

Cell: 7.6580 7.6580 5.4314 Å, 90.00 90.00 90.00°
Space group P4/mbm (No. 127)
Asymmetric unit:
K1 0.1489 0.3511 0.0000 (multiplicity 4)
Cu1 0.0000 0.0000 0.5000 (multiplicity 2)
Te1 0.1719 0.6719 0.5000 (multiplicity 4)

Values from the calculation:
The formation energy from raw total energies is -0.46 eV per atom. The calculation puts the calculated density at 4139 kg/m3. Its total energy is -29.75 eV for the cell shown.